Entry 1:
LaAsSe2: optimized geometry, PBE.

Lattice parameters (Å, degrees): 8.901 8.901 8.901 28.06 28.06 28.06
Fractional positions:
La  0.000  0.000  0.000
As  0.500  0.500  0.500
Se  0.398  0.398  0.398
Se  0.602  0.602  0.602

The size of the total moment comes out at 0.0 μB/f.u. The value obtained for the uncorrected formation energy is -790 meV/atom.

---

Entry 2:
MnZn2Au: optimized geometry, PBE.

Lattice parameters (Å, degrees): 3.899 3.899 4.016 90.00 90.00 90.00
Fractional positions:
Mn  0.000  0.000  0.000
Zn  0.000  0.500  0.500
Zn  0.500  0.000  0.500
Au  0.500  0.500  0.000

The formation energy comes out at -70 meV per atom. The size of the total moment comes out at 3.5 μB/f.u.

---

Entry 3:
Nd5Mg6: optimized geometry, PBE.

Lattice parameters (Å, degrees): 9.305 9.305 9.305 145.94 131.50 60.59
Fractional positions:
Nd  0.000  0.000  0.000
Nd  0.163  0.663  0.500
Nd  0.307  0.307  0.000
Nd  0.693  0.693  0.000
Nd  0.837  0.337  0.500
Mg  0.147  0.856  0.291
Mg  0.287  0.500  0.787
Mg  0.436  0.144  0.291
Mg  0.564  0.856  0.709
Mg  0.713  0.500  0.213
Mg  0.853  0.144  0.709

The formation energy comes out at 16 meV per atom. The size of the total moment comes out at 0.0 μB/f.u.

---

Entry 4:
Sc5CdOs4: optimized geometry, PBE.

Lattice parameters (Å, degrees): 3.239 3.239 17.010 90.00 90.00 90.00
Fractional positions:
Sc  0.000  0.000  0.000
Sc  0.000  0.000  0.188
Sc  0.000  0.000  0.373
Sc  0.000  0.000  0.627
Sc  0.000  0.000  0.812
Cd  0.500  0.500  0.500
Os  0.500  0.500  0.095
Os  0.500  0.500  0.286
Os  0.500  0.500  0.714
Os  0.500  0.500  0.905

The formation energy comes out at -380 meV per atom. The size of the total moment comes out at 0.0 μB/f.u.

---

Entry 5:
BeHgPb2: optimized geometry, PBE.

Lattice parameters (Å, degrees): 5.767 5.767 5.767 139.55 122.94 72.26
Fractional positions:
Be  0.000  0.000  0.000
Hg  0.500  0.500  0.000
Pb  0.196  0.696  0.500
Pb  0.804  0.304  0.500

The calculation puts the polymorph energy (0 for the lowest one) at 119 meV per atom. The formation energy comes out at 430 meV per atom. The size of the total moment comes out at 0.0 μB/f.u.

---

Entry 6:
SrAlB: optimized geometry, PBE.

Lattice parameters (Å, degrees): 9.902 3.969 6.818 90.00 90.00 90.00
Fractional positions:
Sr  0.170  0.250  0.025
Sr  0.330  0.750  0.525
Sr  0.670  0.250  0.475
Sr  0.830  0.750  0.975
Al  0.024  0.250  0.612
Al  0.476  0.750  0.112
Al  0.524  0.250  0.888
Al  0.976  0.750  0.388
B  0.062  0.750  0.708
B  0.438  0.250  0.208
B  0.562  0.750  0.792
B  0.938  0.250  0.292

The formation energy comes out at 73 meV per atom. The size of the total moment comes out at 0.0 μB/f.u.

---

Entry 7:
GdMgP2: optimized geometry, PBE.

Lattice parameters (Å, degrees): 6.485 6.485 6.485 36.31 36.31 36.31
Fractional positions:
Gd  0.000  0.000  0.000
Mg  0.500  0.500  0.500
P  0.246  0.246  0.246
P  0.754  0.754  0.754

The formation energy comes out at -854 meV per atom. The size of the total moment comes out at 6.6 μB/f.u.

---

Entry 8:
B2C: optimized geometry, PBE.

Lattice parameters (Å, degrees): 8.815 8.815 4.784 105.66 105.66 17.21
Fractional positions:
B  0.000  0.000  0.000
B  0.058  0.058  0.713
B  0.163  0.163  0.813
B  0.398  0.398  0.718
B  0.500  0.500  0.492
B  0.553  0.553  0.217
B  0.661  0.661  0.024
B  0.897  0.897  0.218
C  0.161  0.161  0.497
C  0.405  0.405  0.399
C  0.651  0.651  0.335
C  0.905  0.905  0.900

The calculation puts the polymorph energy (0 for the lowest one) at 179 meV per atom. The formation energy comes out at 364 meV per atom. The size of the total moment comes out at 0.0 μB/f.u.

---

Entry 9:
Dy4ZnPd2: optimized geometry, PBE.

Lattice parameters (Å, degrees): 4.941 4.941 7.042 90.00 90.00 90.00
Fractional positions:
Dy  0.000  0.500  0.248
Dy  0.000  0.500  0.752
Dy  0.500  0.000  0.248
Dy  0.500  0.000  0.752
Zn  0.000  0.000  0.500
Pd  0.000  0.000  0.000
Pd  0.500  0.500  0.500

The calculation puts the polymorph energy (0 for the lowest one) at 0 meV per atom. The formation energy comes out at -543 meV per atom. The size of the total moment comes out at 0.0 μB/f.u.

---

Entry 10:
NaSnAs2Ir: optimized geometry, PBE.

Lattice parameters (Å, degrees): 5.312 5.312 4.990 90.00 90.00 90.00
Fractional positions:
Na  0.000  0.000  0.000
Sn  0.500  0.500  0.500
As  0.000  0.500  0.500
As  0.500  0.000  0.500
Ir  0.500  0.500  0.000

The formation energy comes out at 859 meV per atom. The size of the total moment comes out at 0.0 μB/f.u.

---

Entry 11:
Nd2HoErTm: optimized geometry, PBE.

Lattice parameters (Å, degrees): 7.107 7.107 7.282 90.00 90.00 107.26
Fractional positions:
Nd  0.195  0.195  0.000
Nd  0.195  0.195  0.500
Nd  0.805  0.805  0.000
Nd  0.805  0.805  0.500
Ho  0.227  0.773  0.750
Ho  0.773  0.227  0.250
Er  0.226  0.774  0.250
Er  0.774  0.226  0.750
Tm  0.500  0.500  0.250
Tm  0.500  0.500  0.750

The formation energy comes out at 424 meV per atom. The size of the total moment comes out at 0.0 μB/f.u.

---

Entry 12:
Mg2ScPd2: optimized geometry, PBE.

Lattice parameters (Å, degrees): 4.548 4.548 5.529 90.00 90.00 120.00
Fractional positions:
Mg  0.333  0.667  0.357
Mg  0.667  0.333  0.643
Sc  0.000  0.000  0.000
Pd  0.333  0.667  0.853
Pd  0.667  0.333  0.147

The calculation puts the polymorph energy (0 for the lowest one) at 12 meV per atom. The formation energy comes out at -622 meV per atom. The size of the total moment comes out at 0.0 μB/f.u.

---

Entry 13:
PmPr2TmS5: optimized geometry, PBE.

Lattice parameters (Å, degrees): 4.829 4.829 10.433 90.00 90.00 90.00
Fractional positions:
Pm  0.000  0.000  0.000
Pr  0.500  0.500  0.303
Pr  0.500  0.500  0.697
Tm  0.000  0.000  0.500
S  0.000  0.000  0.250
S  0.000  0.000  0.750
S  0.000  0.500  0.500
S  0.500  0.000  0.500
S  0.500  0.500  0.000

The size of the total moment comes out at 0.0 μB/f.u. The value obtained for the uncorrected formation energy is -1534 meV/atom.